A plane-wave DFT calculation with GGA-PBE was carried out for a relaxed structure of Mg2CuBOs.

The calculation puts the energy relative to the elements at 304 meV per atom. The density comes out at 6.7 g/cm³. Its density of states at the Fermi level is 2.24 states/eV/f.u. Its crystal system is tetragonal.

It has space group P4/mmm (No. 123), with a = 4.4109 Å, b = 4.4109 Å, c = 3.9794 Å, α = 90.00°, β = 90.00° and γ = 90.00°. The distinct sites, in fractional coordinates, are Mg at (0.0000, 0.5000, 0.0000), Cu at (0.0000, 0.0000, 0.5000), B at (0.5000, 0.5000, 0.0000) and Os at (0.5000, 0.5000, 0.5000).


A plane-wave DFT calculation with GGA-PBE was carried out for a relaxed structure of MgCu2BPt.

The calculation puts the energy relative to the elements at -194 meV per atom. The density comes out at 8.8 g/cm³. Its density of states at the Fermi level is 1.81 states/eV/f.u. Its crystal system is tetragonal.

It has space group P4/mmm (No. 123), with a = 4.0322 Å, b = 4.0322 Å, c = 4.1692 Å, α = 90.00°, β = 90.00° and γ = 90.00°. The distinct sites, in fractional coordinates, are Mg at (0.0000, 0.0000, 0.0000), Cu at (0.0000, 0.5000, 0.5000), B at (0.5000, 0.5000, 0.5000) and Pt at (0.5000, 0.5000, 0.0000).


A plane-wave DFT calculation with GGA-PBE was carried out for a relaxed structure of MgCuBPt2.

The calculation puts the energy relative to the elements at -383 meV per atom. The density comes out at 11.4 g/cm³. Its density of states at the Fermi level is 2.42 states/eV/f.u. Its crystal system is tetragonal.

It has space group P4/mmm (No. 123), with a = 4.1963 Å, b = 4.1963 Å, c = 4.0546 Å, α = 90.00°, β = 90.00° and γ = 90.00°. The distinct sites, in fractional coordinates, are Mg at (0.0000, 0.0000, 0.0000), Cu at (0.5000, 0.5000, 0.0000), B at (0.5000, 0.5000, 0.5000) and Pt at (0.0000, 0.5000, 0.5000).


A plane-wave DFT calculation with GGA-PBE was carried out for a relaxed structure of Mg2CuB2Pt5.

The calculation puts the energy relative to the elements at -535 meV per atom. The density comes out at 13.5 g/cm³. Its density of states at the Fermi level is 2.80 states/eV/f.u. Its crystal system is tetragonal.

It has space group P4/mbm (No. 127), with a = 9.2600 Å, b = 9.2600 Å, c = 3.1850 Å, α = 90.00°, β = 90.00° and γ = 90.00°. The distinct sites, in fractional coordinates, are Mg at (0.1751, 0.3249, 0.0000), Cu at (0.0000, 0.0000, 0.0000), B at (0.1288, 0.6288, 0.0000), Pt at (0.0000, 0.5000, 0.5000) and Pt at (0.0730, 0.7870, 0.5000).


The highest density belongs to which entry?
Mg2CuB2Pt5


What is the formula in the second record?
MgCu2BPt


Which value of density does entry 2 give?
8.8 g/cm³